[1]
Material: BaUGe2Se8
Method: DFT, PBE
State: relaxed

a b c (Å): 6.5766 6.5766 9.3374
angles (deg): 90.00 90.00 120.00
Closest atoms and distances in Å follow each position.
Space group P-3 (No. 147)
Unique sites:
Ba: 0.0000 0.0000 0.0000  12 Se 3.76-3.80
U: 0.0000 0.0000 0.5000  6 Se 2.72
Ge: 0.3333 0.6667 0.7536  4 Se 2.30-2.42
Se: 0.0218 0.6782 0.3275  1 Ge 2.42
Se: 0.3333 0.6667 0.0003  1 Ge 2.30

Computed properties:
ΔE_f (raw)   -679.9 meV/atom
V   29.1 Å³ per atom
Magnetization   0.179 μB per formula unit

***

[2]
Material: Mn2W
Method: DFT, PBE
State: relaxed

a b c (Å): 4.7125 4.7125 7.7569
angles (deg): 90.00 90.00 120.00
Closest atoms and distances in Å follow each position.
Space group P6_3/mmc (No. 194)
Unique sites:
Mn: 0.0000 0.0000 0.0000  6 Mn 2.40
Mn: 0.1723 0.3446 0.2500  6 Mn 2.28-2.44
W: 0.3333 0.6667 0.5656  12 Mn 2.76-2.78, 4 W 2.86-2.90

Computed properties:
V   12.4 Å³ per atom
Magnetization   0.001 μB per formula unit
Formation energy   -82 meV/atom

***

[3]
Material: YTmCdOs
Method: DFT, PBE
State: relaxed

a b c (Å): 3.4375 3.4375 7.6994
angles (deg): 90.00 90.00 90.00
Closest atoms and distances in Å follow each position.
Space group P4mm (No. 99)
Unique sites:
Y: 0.0000 0.0000 0.0000  4 Os 2.96, 1 Tm 3.29, 4 Cd 3.31
Tm: 0.0000 0.0000 0.5732  4 Os 2.91, 4 Cd 3.25
Cd: 0.5000 0.5000 0.2922  4 Tm 3.25, 4 Y 3.31, 4 Cd 3.44
Os: 0.5000 0.5000 0.7805  4 Tm 2.91, 4 Y 2.96

Computed properties:
V   22.7 Å³ per atom
Magnetization   0.000 μB per formula unit
Formation energy   -331 meV/atom

***

[4]
Material: Y2TaTe
Method: DFT, PBE
State: relaxed

a b c (Å): 8.3307 8.3307 6.2055
angles (deg): 90.00 90.00 90.00
Closest atoms and distances in Å follow each position.
Space group I-42d (No. 122)
Unique sites:
Y: 0.2451 0.2500 0.1250  2 Te 3.02, 2 Ta 3.07, 2 Y 3.10
Ta: 0.0000 0.0000 0.5000  4 Y 3.07, 2 Te 3.10
Te: 0.0000 0.0000 0.0000  4 Y 3.02, 2 Ta 3.10

Computed properties:
ΔE_f (raw)   335.9 meV/atom
V   26.9 Å³ per atom
Magnetization   0.458 μB per formula unit

***

[5]
Material: CaTl2Ru
Method: DFT, PBE
State: relaxed

a b c (Å): 7.0451 7.0451 7.0451
angles (deg): 90.00 90.00 90.00
Closest atoms and distances in Å follow each position.
Space group Fm-3m (No. 225)
Unique sites:
Ca: 0.0000 0.0000 0.0000  8 Tl 3.05
Tl: 0.2500 0.2500 0.2500  4 Ru 3.05, 4 Ca 3.05
Ru: 0.0000 0.0000 0.5000  8 Tl 3.05

Computed properties:
V   21.9 Å³ per atom
Magnetization   0.000 μB per formula unit
Formation energy   153 meV/atom

***

[6]
Material: Si2AgOs
Method: DFT, PBE
State: relaxed

a b c (Å): 3.7618 3.7618 8.1730
angles (deg): 90.00 90.00 90.00
Closest atoms and distances in Å follow each position.
Space group I-4m2 (No. 119)
Unique sites:
Si: 0.0000 0.0000 0.0000  4 Os 2.66, 4 Si 2.78, 4 Ag 2.78
Si: 0.0000 0.5000 0.2500  4 Ag 2.66, 4 Os 2.78, 4 Si 2.78
Ag: 0.0000 0.5000 0.7500  8 Si 2.66-2.78, 4 Os 2.78
Os: 0.0000 0.0000 0.5000  8 Si 2.66-2.78, 4 Ag 2.78

Computed properties:
ΔE_f (raw)   392.6 meV/atom
V   14.5 Å³ per atom
Magnetization   0.000 μB per formula unit

***

[7]
Material: TlCu2Br
Method: DFT, PBE
State: relaxed

a b c (Å): 7.1179 7.1179 7.1179
angles (deg): 90.00 90.00 90.00
Closest atoms and distances in Å follow each position.
Space group F-43m (No. 216)
Unique sites:
Tl: 0.0000 0.0000 0.0000  4 Cu 3.08, 4 Br 3.08
Cu: 0.0000 0.0000 0.5000  4 Br 3.08, 4 Cu 3.08
Cu: 0.2500 0.2500 0.2500  4 Tl 3.08, 4 Cu 3.08
Br: 0.2500 0.2500 0.7500  4 Tl 3.08, 4 Cu 3.08

Computed properties:
ΔE_f (raw)   534.0 meV/atom
V   22.5 Å³ per atom
Magnetization   0.000 μB per formula unit

***

[8]
Material: ZnCo2Ir
Method: DFT, PBE
State: relaxed

a b c (Å): 2.8859 4.1643 4.2480
angles (deg): 90.00 90.00 90.00
Closest atoms and distances in Å follow each position.
Space group Pmmm (No. 47)
Unique sites:
Zn: 0.0000 0.0000 0.0000  4 Ir 2.53, 4 Co 2.57
Co: 0.0000 0.5000 0.5000  4 Co 2.53, 4 Ir 2.57
Co: 0.5000 0.0000 0.5000  4 Co 2.53, 4 Zn 2.57
Ir: 0.5000 0.5000 0.0000  4 Zn 2.53, 4 Co 2.57

Computed properties:
V   12.8 Å³ per atom
Magnetization   3.662 μB per formula unit
Formation energy   66 meV/atom

***

[9]
Material: LiGaRePdRu
Method: DFT, PBE
State: relaxed

a b c (Å): 8.8922 2.7897 6.7012
angles (deg): 90.00 119.27 90.00
Closest atoms and distances in Å follow each position.
Space group Cm (No. 8)
Unique sites:
Li: 0.0000 0.0000 0.0000  3 Pd 2.58-2.64, 3 Ga 2.70-2.77, 2 Li 2.79, 2 Ru 2.84
Ga: 0.1913 0.0000 0.7870  2 Pd 2.61, 2 Ru 2.61, 3 Li 2.70-2.77, 3 Re 2.77-2.78, 2 Ga 2.79
Re: 0.3842 0.0000 0.5627  3 Ru 2.56-2.61, 3 Ga 2.77-2.78, 2 Pd 2.78, 2 Re 2.79
Pd: 0.2877 0.5000 0.1586  3 Li 2.58-2.64, 2 Ga 2.61, 2 Re 2.78, 2 Pd 2.79, 2 Ru 2.83
Ru: 0.1022 0.5000 0.4166  3 Re 2.56-2.61, 2 Ga 2.61, 2 Ru 2.79, 2 Pd 2.83, 2 Li 2.84

Computed properties:
V   14.5 Å³ per atom
Magnetization   0.000 μB per formula unit
Formation energy   -82 meV/atom

***

[10]
Material: PaRuPb2O8
Method: DFT, PBE
State: relaxed

a b c (Å): 7.1937 7.2891 6.7131
angles (deg): 90.00 90.00 90.00
Closest atoms and distances in Å follow each position.
Space group Cmmm (No. 65)
Unique sites:
Pa: 0.0000 0.0000 0.0000  6 O 2.18-2.20
Ru: 0.0000 0.0000 0.5000  6 O 1.95-2.06
Pb: 0.0000 0.5000 0.2619  6 O 2.26-2.33
O: 0.0000 0.1798 0.2627  1 Ru 2.06, 1 Pa 2.20
O: 0.1970 0.5000 0.0000  1 Pa 2.18, 2 Pb 2.26
O: 0.2294 0.5000 0.5000  1 Ru 1.95

Computed properties:
ΔE_f (raw)   -1627.4 meV/atom
V   14.7 Å³ per atom
Magnetization   1.781 μB per formula unit

***

[11]
Material: GdAg2
Method: DFT, PBE
State: relaxed

a b c (Å): 3.7640 3.7640 9.4094
angles (deg): 90.00 90.00 90.00
Closest atoms and distances in Å follow each position.
Space group I4/mmm (No. 139)
Unique sites:
Gd: 0.0000 0.0000 0.0000  10 Ag 3.09-3.11
Ag: 0.0000 0.0000 0.3283  5 Ag 3.04-3.23, 5 Gd 3.09-3.11

Computed properties:
V   22.2 Å³ per atom
Magnetization   7.141 μB per formula unit
Formation energy   -275 meV/atom

***

[12]
Material: BiMoP2Cl
Method: DFT, PBE
State: relaxed

a b c (Å): 5.2996 5.2996 5.1958
angles (deg): 90.00 90.00 90.00
Closest atoms and distances in Å follow each position.
Space group P4/mmm (No. 123)
Unique sites:
Bi: 0.0000 0.0000 0.0000  2 Cl 2.60, 4 P 2.65
Mo: 0.5000 0.5000 0.5000  8 P 3.71, 4 Cl 3.75
P: 0.0000 0.5000 0.0000  2 Bi 2.65
Cl: 0.0000 0.0000 0.5000  2 Bi 2.60

Computed properties:
ΔE_f (raw)   1381.2 meV/atom
V   29.2 Å³ per atom
Magnetization   3.169 μB per formula unit

***

[13]
Material: AcLa2Pd6Pb3
Method: DFT, PBE
State: relaxed

a b c (Å): 4.2498 4.2498 16.4218
angles (deg): 90.00 90.00 90.00
Closest atoms and distances in Å follow each position.
Space group P4/mmm (No. 123)
Unique sites:
Ac: 0.0000 0.0000 0.0000  8 Pb 3.53
La: 0.0000 0.0000 0.3571  8 Pd 3.03-3.08
Pd: 0.0000 0.5000 0.2214  2 Pb 2.78, 6 Pd 2.82-3.01, 2 La 3.08
Pd: 0.5000 0.5000 0.3341  1 Pb 2.72, 4 Pd 2.82, 4 La 3.03
Pb: 0.5000 0.5000 0.1127  4 Pd 2.78
Pb: 0.5000 0.5000 0.5000  2 Pd 2.72

Computed properties:
V   24.7 Å³ per atom
Magnetization   0.000 μB per formula unit
Formation energy   -587 meV/atom

***

[14]
Material: Ac4ThAg5
Method: DFT, PBE
State: relaxed

a b c (Å): 3.9138 3.9138 19.6472
angles (deg): 90.00 90.00 90.00
Closest atoms and distances in Å follow each position.
Space group P4/mmm (No. 123)
Unique sites:
Ac: 0.0000 0.0000 0.1028  8 Ag 3.41-3.43
Ac: 0.0000 0.0000 0.3073  8 Ag 3.43-3.45, 1 Th 3.79
Th: 0.0000 0.0000 0.5000  8 Ag 3.26
Ag: 0.5000 0.5000 0.0000  8 Ac 3.43
Ag: 0.5000 0.5000 0.2043  8 Ac 3.41-3.43
Ag: 0.5000 0.5000 0.4124  4 Th 3.26, 1 Ag 3.44, 4 Ac 3.45

Computed properties:
V   30.1 Å³ per atom
Magnetization   0.827 μB per formula unit
Formation energy   -199 meV/atom

***

[15]
Material: CeAlGa2Ni
Method: DFT, PBE
State: relaxed

a b c (Å): 4.1004 4.1004 10.7410
angles (deg): 90.00 90.00 90.00
Closest atoms and distances in Å follow each position.
Space group I-4m2 (No. 119)
Unique sites:
Ce: 0.0000 0.0000 0.0000  8 Ga 3.16, 4 Ni 3.38, 4 Al 3.38
Al: 0.0000 0.5000 0.7500  4 Ga 2.50
Ga: 0.0000 0.0000 0.3837  1 Ga 2.50, 2 Ni 2.50, 2 Al 2.50
Ni: 0.0000 0.5000 0.2500  4 Ga 2.50

Computed properties:
V   18.1 Å³ per atom
Magnetization   0.454 μB per formula unit
Formation energy   -514 meV/atom

***

[16]
Material: KCdHg2Pb
Method: DFT, PBE
State: relaxed

a b c (Å): 5.6856 5.6856 5.7542
angles (deg): 90.00 90.00 90.00
Closest atoms and distances in Å follow each position.
Space group P4/mmm (No. 123)
Unique sites:
K: 0.0000 0.0000 0.0000  4 Pb 4.02, 8 Hg 4.04
Cd: 0.5000 0.5000 0.5000  4 Hg 2.84, 2 Pb 2.88
Hg: 0.0000 0.5000 0.5000  2 Cd 2.84
Pb: 0.5000 0.5000 0.0000  2 Cd 2.88

Computed properties:
V   37.2 Å³ per atom
Magnetization   0.001 μB per formula unit
Formation energy   60 meV/atom

***

[17]
Material: BaTl6
Method: DFT, PBE
State: relaxed

a b c (Å): 8.4253 8.4253 8.4253
angles (deg): 90.00 90.00 90.00
Closest atoms and distances in Å follow each position.
Space group Im-3m (No. 229)
Unique sites:
Ba: 0.0000 0.0000 0.0000  24 Tl 4.71
Tl: 0.0000 0.2500 0.5000  4 Tl 2.98

Computed properties:
V   42.7 Å³ per atom
Magnetization   0.000 μB per formula unit
Formation energy   124 meV/atom

***

[18]
Material: PrTm2Rh
Method: DFT, PBE
State: relaxed

a b c (Å): 7.2015 9.4007 6.4158
angles (deg): 90.00 90.00 90.00
Closest atoms and distances in Å follow each position.
Space group Pnma (No. 62)
Unique sites:
Pr: 0.0332 0.2500 0.1358  2 Rh 2.86-3.02
Tm: 0.1760 0.0653 0.6681  2 Rh 2.79-2.82
Rh: 0.1168 0.7500 0.4243  4 Tm 2.79-2.82, 2 Pr 2.86-3.02

Computed properties:
V   27.1 Å³ per atom
Magnetization   0.000 μB per formula unit
Formation energy   -512 meV/atom

***

[19]
Material: TlPd6Au5
Method: DFT, PBE
State: relaxed

a b c (Å): 4.3317 13.0309 7.2497
angles (deg): 90.00 90.06 90.00
Closest atoms and distances in Å follow each position.
Space group C2/m (No. 12)
Unique sites:
Tl: 0.0000 0.0000 0.0000  8 Pd 2.82-2.84, 4 Au 3.11
Pd: 0.0000 0.1666 0.2525  7 Au 2.80-2.84, 1 Tl 2.84, 4 Pd 3.07
Pd: 0.0000 0.5000 0.2485  2 Tl 2.82, 6 Au 2.83-2.87, 4 Pd 3.07
Au: 0.0000 0.0000 0.5000  8 Pd 2.82-2.83, 4 Au 3.06
Au: 0.0000 0.3289 0.0000  8 Pd 2.80-2.87, 2 Au 2.99, 2 Tl 3.11
Au: 0.0000 0.3341 0.5000  8 Pd 2.81-2.83, 4 Au 3.06-3.08

Computed properties:
V   17.1 Å³ per atom
Magnetization   0.000 μB per formula unit
Formation energy   -123 meV/atom

***

[20]
Material: InH2Ru2
Method: DFT, PBE
State: relaxed

a b c (Å): 3.1245 3.1245 11.0586
angles (deg): 90.00 90.00 90.00
Closest atoms and distances in Å follow each position.
Space group I4/mmm (No. 139)
Unique sites:
In: 0.0000 0.0000 0.0000  8 Ru 2.81, 4 In 3.12
H: 0.0000 0.5000 0.2500  4 Ru 1.87
Ru: 0.0000 0.0000 0.3437  4 H 1.87

Computed properties:
V   10.8 Å³ per atom
Magnetization   0.000 μB per formula unit

***

Number 1: energy -4.873 eV per atom. Number 2: energy -10.513 eV per atom. Number 3: energy -6.102 eV per atom. Number 4: energy -6.645 eV per atom. Number 5: energy -3.850 eV per atom. Number 6: energy -5.839 eV per atom. Number 7: energy -2.524 eV per atom. Number 8: energy -6.021 eV per atom. Number 9: energy -6.454 eV per atom. Number 10: energy -7.115 eV per atom. Number 11: energy -6.869 eV per atom. Number 12: energy -4.094 eV per atom. Number 13: energy -5.274 eV per atom. Number 14: energy -4.010 eV per atom. Number 15: energy -4.816 eV per atom. Number 16: energy -1.205 eV per atom. Number 17: energy -2.179 eV per atom. Number 18: energy -5.781 eV per atom. Number 19: energy -4.282 eV per atom. Number 20: energy -5.453 eV per atom.